This record from the Alexandria database describes crystalline VGaCo at its relaxed geometry. The functional is GGA-PBE.

The structure in extended XYZ format:
```
3
Lattice="-2.235 1.207 -0.681 -0.984 -3.168 -2.389 -1.168 0.046 3.917" Properties=species:S:1:pos:R:3 pbc="T T T"
Co -0.365 0.197 -0.111
Ga -1.423 -1.892 -0.402
V -2.598 -0.219 1.361
```

The calculation puts the density at 7.84 g/cm3. The value obtained for the final energy is -19.83 eV for the cell shown. As for the space group: No. 156. The value obtained for the density of states at the Fermi level is 1.761 states/eV/f.u.